(1)
The following is a GGA-PBEsol calculation of LaIr2Br after structural relaxation, from Alexandria.

Calculated values
Space group: P4/mmm
Fermi-level density of states (states/eV/f.u.): 5.95
Magnetic moment (μB per formula unit): 0.62

Cell: 3.8987 3.8987 5.3071 Å, 90.00 90.00 90.00°
With the nearest neighbours (Å) after each atom.
Element x y z (fractional)
Br 0.0000 0.0000 0.5000  4 La 2.76
Ir 0.0000 0.5000 0.0000  4 Ir 2.76
La 0.5000 0.5000 0.5000  4 Br 2.76
Ir 0.5000 0.0000 0.0000  4 Ir 2.76



(2)
The following is a GGA-PBEsol calculation of LaIr2Br after structural relaxation, from Alexandria.

Calculated values
Space group: P4mm
Fermi-level density of states (states/eV/f.u.): 2.92
Magnetic moment (μB per formula unit): 0.00

Cell: 3.5149 3.5149 7.5840 Å, 90.00 90.00 90.00°
With the nearest neighbours (Å) after each atom.
Element x y z (fractional)
Br 0.5000 0.5000 0.7114  4 La 3.08
La 0.0000 0.0000 0.4705  1 Ir 2.66
Ir 0.5000 0.5000 0.1982  4 Ir 2.56
Ir 0.0000 0.0000 0.1199  4 Ir 2.56, 1 La 2.66



Q: Which of them is the least stable? A: (1).



(1)
The following is a GGA-PBEsol calculation of LaIr2Br after structural relaxation, from Alexandria.

Calculated values
Space group: I-42d
Fermi-level density of states (states/eV/f.u.): 4.71
Magnetic moment (μB per formula unit): 0.00

Cell: 4.0296 4.0296 10.4861 Å, 101.08 101.08 90.00°
With the nearest neighbours (Å) after each atom.
Element x y z (fractional)
Ir 0.1250 0.1731 0.7500  2 Ir 2.59, 2 Br 2.84
Br 0.5000 0.5000 0.0000  4 Ir 2.84, 4 La 2.85
Ir 0.4231 0.8750 0.2500  2 Ir 2.59, 2 Br 2.84
Br 0.7500 0.2500 0.5000  4 Ir 2.84, 4 La 2.85
Ir 0.8269 0.3750 0.2500  2 Ir 2.59, 2 Br 2.84
La 0.2500 0.7500 0.5000  4 Br 2.85, 4 Ir 2.97
Ir 0.6250 0.5769 0.7500  2 Ir 2.59, 2 Br 2.84
La 0.0000 0.0000 0.0000  4 Br 2.85, 4 Ir 2.97



(2)
The following is a GGA-PBEsol calculation of LaIr2Br after structural relaxation, from Alexandria.

Calculated values
Space group: C2/m
Fermi-level density of states (states/eV/f.u.): 2.32
Magnetic moment (μB per formula unit): 0.00

Cell: 3.0993 4.8565 5.7608 Å, 114.77 105.36 90.55°
With the nearest neighbours (Å) after each atom.
Element x y z (fractional)
Ir 0.0000 0.0000 0.5000  6 Ir 2.87-3.10, 2 La 2.89, 2 Br 2.89
Ir 0.5000 0.5000 0.5000  6 Ir 2.87-3.10, 2 Br 2.89, 2 La 2.89
La 0.5000 0.0000 0.0000  4 Br 2.87-2.89, 4 Ir 2.89, 2 La 3.10
Br 0.0000 0.5000 0.0000  4 La 2.87-2.89, 4 Ir 2.89, 2 Br 3.10



Q: Which of them is the least stable? A: (1).



(1)
The following is a GGA-PBEsol calculation of Mn2IrBr after structural relaxation, from Alexandria.

Calculated values
Space group: P4mm
Fermi-level density of states (states/eV/f.u.): 4.07
Magnetic moment (μB per formula unit): 5.79

Cell: 2.9983 2.9983 6.7881 Å, 90.00 90.00 90.00°
With the nearest neighbours (Å) after each atom.
Element x y z (fractional)
Mn 0.5000 0.5000 0.2261  4 Mn 2.63, 4 Br 2.67, 1 Ir 2.81
Ir 0.5000 0.5000 0.8124  4 Mn 2.46
Br 0.0000 0.0000 0.4642  4 Mn 2.67
Mn 0.0000 0.0000 0.9972  4 Ir 2.46, 4 Mn 2.63



(2)
The following is a GGA-PBEsol calculation of Mn2IrBr after structural relaxation, from Alexandria.

Calculated values
Space group: Imm2
Fermi-level density of states (states/eV/f.u.): 3.19
Magnetic moment (μB per formula unit): 7.78

Cell: 3.0498 3.2859 7.2666 Å, 103.07 102.11 90.00°
With the nearest neighbours (Å) after each atom.
Element x y z (fractional)
Mn 0.0659 0.0659 0.1317  2 Ir 2.53, 4 Br 2.80
Ir 0.2053 0.7053 0.4106  6 Mn 2.49-2.53
Br 0.4445 0.4445 0.8889  6 Mn 2.69-2.80
Mn 0.7844 0.2844 0.5688  4 Ir 2.49, 2 Br 2.69



Q: Which of them is the least stable? A: (1).



(1)
The following is a GGA-PBEsol calculation of MnIr2Br after structural relaxation, from Alexandria.

Calculated values
Space group: P4/mmm
Fermi-level density of states (states/eV/f.u.): 4.74
Magnetic moment (μB per formula unit): 4.26

Cell: 4.0677 4.0677 3.6669 Å, 90.00 90.00 90.00°
With the nearest neighbours (Å) after each atom.
Element x y z (fractional)
Mn 0.5000 0.5000 0.5000  8 Ir 2.74, 4 Br 2.88
Ir 0.5000 0.0000 0.0000  4 Mn 2.74, 4 Br 2.74, 4 Ir 2.88
Ir 0.0000 0.5000 0.0000  4 Mn 2.74, 4 Br 2.74, 4 Ir 2.88
Br 0.0000 0.0000 0.5000  8 Ir 2.74, 4 Mn 2.88



(2)
The following is a GGA-PBEsol calculation of MnIr2Br after structural relaxation, from Alexandria.

Calculated values
Space group: R-3m
Fermi-level density of states (states/eV/f.u.): 3.49
Magnetic moment (μB per formula unit): 1.92

Cell: 2.7339 2.7339 9.8304 Å, 82.01 82.01 60.00°
With the nearest neighbours (Å) after each atom.
Element x y z (fractional)
Ir 0.7663 0.7663 0.7011  3 Mn 2.51, 6 Ir 2.73
Mn 0.5000 0.5000 0.5000  6 Ir 2.51, 6 Mn 2.73
Ir 0.2337 0.2337 0.2989  3 Mn 2.51, 6 Ir 2.73
Br 0.0000 0.0000 0.0000  6 Br 2.73



(3)
The following is a GGA-PBEsol calculation of MnIr2Br after structural relaxation, from Alexandria.

Calculated values
Space group: P4/mmm
Fermi-level density of states (states/eV/f.u.): 3.35
Magnetic moment (μB per formula unit): 2.64

Cell: 2.9656 2.9656 6.9615 Å, 90.00 90.00 90.00°
With the nearest neighbours (Å) after each atom.
Element x y z (fractional)
Ir 0.0000 0.0000 0.7977  4 Mn 2.53, 1 Ir 2.82
Mn 0.5000 0.5000 0.0000  8 Ir 2.53
Br 0.5000 0.5000 0.5000  8 Ir 2.95, 4 Br 2.97
Ir 0.0000 0.0000 0.2023  4 Mn 2.53, 1 Ir 2.82



Q: Which of them is the least stable? A: (1).



(1)
The following is a GGA-PBEsol calculation of MoIrBr2 after structural relaxation, from Alexandria.

Calculated values
Space group: Immm
Fermi-level density of states (states/eV/f.u.): 3.84
Magnetic moment (μB per formula unit): 0.00

Cell: 3.0479 4.2812 7.2519 Å, 107.17 102.13 90.00°
With the nearest neighbours (Å) after each atom.
Element x y z (fractional)
Br 0.6559 0.6559 0.3117  2 Mo 2.60
Mo 0.0000 0.5000 0.0000  4 Br 2.60, 4 Ir 2.63
Br 0.3441 0.3441 0.6883  2 Mo 2.60
Ir 0.5000 0.0000 0.0000  4 Mo 2.63



(2)
The following is a GGA-PBEsol calculation of MoIrBr2 after structural relaxation, from Alexandria.

Calculated values
Space group: F-43m
Fermi-level density of states (states/eV/f.u.): 4.54
Magnetic moment (μB per formula unit): 1.14

Cell: 4.6270 4.6270 4.6270 Å, 60.00 60.00 60.00°
With the nearest neighbours (Å) after each atom.
Element x y z (fractional)
Br 0.0000 0.0000 0.0000  4 Br 2.83, 4 Mo 2.83
Mo 0.2500 0.2500 0.2500  4 Br 2.83, 4 Ir 2.83
Br 0.7500 0.7500 0.7500  4 Br 2.83, 4 Ir 2.83
Ir 0.5000 0.5000 0.5000  4 Mo 2.83, 4 Br 2.83



Q: Which of them is the least stable? A: (2).



(1)
The following is a GGA-PBEsol calculation of MoIrBr2 after structural relaxation, from Alexandria.

Calculated values
Space group: P2/m
Fermi-level density of states (states/eV/f.u.): 3.75
Magnetic moment (μB per formula unit): 0.00

Cell: 3.0396 4.3935 5.2341 Å, 90.00 94.02 90.00°
With the nearest neighbours (Å) after each atom.
Element x y z (fractional)
Br 0.7745 0.0000 0.7516  2 Mo 2.62, 2 Ir 2.67, 1 Br 2.85
Br 0.2255 0.0000 0.2484  2 Mo 2.62, 2 Ir 2.67, 1 Br 2.85
Ir 0.5000 0.5000 0.5000  4 Br 2.67, 2 Mo 2.93
Mo 0.0000 0.5000 0.0000  4 Br 2.62, 2 Ir 2.93



(2)
The following is a GGA-PBEsol calculation of MoIrBr2 after structural relaxation, from Alexandria.

Calculated values
Space group: R-3m
Fermi-level density of states (states/eV/f.u.): 2.80
Magnetic moment (μB per formula unit): 0.00

Cell: 3.0414 3.0414 8.5903 Å, 79.80 79.80 60.00°
With the nearest neighbours (Å) after each atom.
Element x y z (fractional)
Br 0.7426 0.7426 0.7722  3 Mo 2.60, 3 Ir 2.88
Br 0.2574 0.2574 0.2278  3 Mo 2.60, 3 Ir 2.88
Mo 0.0000 0.0000 0.0000  6 Br 2.60
Ir 0.5000 0.5000 0.5000  6 Br 2.88, 6 Ir 3.04



Q: Which of them is the least stable? A: (1).



(1)
The following is a GGA-PBEsol calculation of NiIrBr2 after structural relaxation, from Alexandria.

Calculated values
Space group: P4mm
Fermi-level density of states (states/eV/f.u.): 6.26
Magnetic moment (μB per formula unit): 0.55

Cell: 3.4131 3.4131 6.6175 Å, 90.00 90.00 90.00°
With the nearest neighbours (Å) after each atom.
Element x y z (fractional)
Ni 0.5000 0.5000 0.6661  1 Br 2.24, 4 Ir 2.49
Br 0.0000 0.0000 0.9351  1 Ir 2.41
Br 0.5000 0.5000 0.3278  1 Ni 2.24
Ir 0.0000 0.0000 0.5710  1 Br 2.41, 4 Ni 2.49



(2)
The following is a GGA-PBEsol calculation of NiIrBr2 after structural relaxation, from Alexandria.

Calculated values
Space group: Cmmm
Fermi-level density of states (states/eV/f.u.): 4.74
Magnetic moment (μB per formula unit): 0.00

Cell: 3.0067 3.2185 8.0252 Å, 90.00 90.00 117.85°
With the nearest neighbours (Å) after each atom.
Element x y z (fractional)
Ni 0.5000 0.0000 0.0000  4 Br 2.40
Br 0.0000 0.0000 0.7665  2 Ni 2.40, 2 Ir 2.61
Ir 0.5000 0.0000 0.5000  4 Br 2.61
Br 0.0000 0.0000 0.2335  2 Ni 2.40, 2 Ir 2.61



Q: Which of them is the least stable? A: (2).



(1)
The following is a GGA-PBEsol calculation of NiIrSe2Br after structural relaxation, from Alexandria.

Calculated values
Space group: P4/mmm
Fermi-level density of states (states/eV/f.u.): 6.72
Magnetic moment (μB per formula unit): 0.12

Cell: 4.5561 4.5561 4.5319 Å, 90.00 90.00 90.00°
With the nearest neighbours (Å) after each atom.
Element x y z (fractional)
Br 0.0000 0.0000 0.5000  2 Ni 2.27
Se 0.5000 0.0000 0.0000  2 Ni 2.28
Ni 0.0000 0.0000 0.0000  2 Br 2.27, 4 Se 2.28
Se 0.0000 0.5000 0.0000  2 Ni 2.28
Ir 0.5000 0.5000 0.5000  8 Se 3.21, 4 Br 3.22



(2)
The following is a GGA-PBEsol calculation of NiIrSe2Br after structural relaxation, from Alexandria.

Calculated values
Space group: P4/mmm
Fermi-level density of states (states/eV/f.u.): 11.48
Magnetic moment (μB per formula unit): 1.29

Cell: 4.7640 4.7640 5.1250 Å, 90.00 90.00 90.00°
With the nearest neighbours (Å) after each atom.
Element x y z (fractional)
Se 0.0000 0.5000 0.0000  2 Ir 2.38
Br 0.0000 0.0000 0.5000  2 Ir 2.56
Se 0.5000 0.0000 0.0000  2 Ir 2.38
Ni 0.5000 0.5000 0.5000  4 Br 3.37, 8 Se 3.50
Ir 0.0000 0.0000 0.0000  4 Se 2.38, 2 Br 2.56



Q: Which of them is the least stable? A: (1).



(1)
The following is a GGA-PBEsol calculation of IrOs2Br after structural relaxation, from Alexandria.

Calculated values
Space group: Pmmm
Fermi-level density of states (states/eV/f.u.): 3.17
Magnetic moment (μB per formula unit): 0.00

Cell: 2.7590 3.7209 6.3839 Å, 90.00 90.00 90.00°
With the nearest neighbours (Å) after each atom.
Element x y z (fractional)
Os 0.5000 0.0000 0.1987  3 Os 2.54-2.76, 4 Ir 2.64, 2 Br 2.68
Ir 0.0000 0.5000 0.0000  8 Os 2.64, 2 Ir 2.76
Os 0.5000 0.0000 0.8013  3 Os 2.54-2.76, 4 Ir 2.64, 2 Br 2.68
Br 0.5000 0.5000 0.5000  4 Os 2.68, 2 Br 2.76



(2)
The following is a GGA-PBEsol calculation of IrOs2Br after structural relaxation, from Alexandria.

Calculated values
Space group: P4/mmm
Fermi-level density of states (states/eV/f.u.): 4.12
Magnetic moment (μB per formula unit): 0.00

Cell: 2.7970 2.7970 7.6817 Å, 90.00 90.00 90.00°
With the nearest neighbours (Å) after each atom.
Element x y z (fractional)
Os 0.0000 0.0000 0.7380  4 Ir 2.69, 4 Os 2.80, 4 Br 2.82
Ir 0.5000 0.5000 0.5000  8 Os 2.69, 4 Ir 2.80
Br 0.5000 0.5000 0.0000  4 Br 2.80, 8 Os 2.82
Os 0.0000 0.0000 0.2620  4 Ir 2.69, 4 Os 2.80, 4 Br 2.82



Q: Which of them is the least stable? A: (2).



(1)
The following is a GGA-PBEsol calculation of IrOs2Br after structural relaxation, from Alexandria.

Calculated values
Space group: R-3m
Fermi-level density of states (states/eV/f.u.): 3.83
Magnetic moment (μB per formula unit): 0.00

Cell: 2.8177 2.8177 8.8268 Å, 80.82 80.82 60.00°
With the nearest neighbours (Å) after each atom.
Element x y z (fractional)
Os 0.7484 0.7484 0.7547  3 Ir 2.68, 3 Br 2.74, 6 Os 2.82
Ir 0.0000 0.0000 0.0000  6 Os 2.68, 6 Ir 2.82
Br 0.5000 0.5000 0.5000  6 Os 2.74, 6 Br 2.82
Os 0.2516 0.2516 0.2453  3 Ir 2.68, 3 Br 2.74, 6 Os 2.82



(2)
The following is a GGA-PBEsol calculation of IrOs2Br after structural relaxation, from Alexandria.

Calculated values
Space group: Imm2
Fermi-level density of states (states/eV/f.u.): 3.12
Magnetic moment (μB per formula unit): 0.00

Cell: 2.7390 4.4037 5.9056 Å, 111.89 103.41 90.00°
With the nearest neighbours (Å) after each atom.
Element x y z (fractional)
Ir 0.2829 0.7829 0.5658  6 Os 2.68-2.80, 2 Ir 2.74
Os 0.7178 0.2178 0.4356  4 Os 2.56-2.74, 4 Ir 2.68
Os 0.0135 0.0135 0.0269  4 Os 2.56-2.74, 4 Br 2.61, 2 Ir 2.80
Br 0.4858 0.4858 0.9717  4 Os 2.61, 2 Br 2.74



Q: Which of them is the least stable? A: (2).



(1)
The following is a GGA-PBEsol calculation of PIrBr after structural relaxation, from Alexandria.

Calculated values
Space group: F-43m
Fermi-level density of states (states/eV/f.u.): 3.32
Magnetic moment (μB per formula unit): 0.00

Cell: 4.2608 4.2608 4.2608 Å, 60.00 60.00 60.00°
With the nearest neighbours (Å) after each atom.
Element x y z (fractional)
Ir 0.5000 0.5000 0.5000  4 P 2.61
P 0.2500 0.2500 0.2500  4 Ir 2.61, 4 Br 2.61
Br 0.0000 0.0000 0.0000  4 P 2.61



(2)
The following is a GGA-PBEsol calculation of PIrBr after structural relaxation, from Alexandria.

Calculated values
Space group: Imm2
Fermi-level density of states (states/eV/f.u.): 1.65
Magnetic moment (μB per formula unit): 0.00

Cell: 2.9252 3.4524 6.1233 Å, 106.37 103.82 90.00°
With the nearest neighbours (Å) after each atom.
Element x y z (fractional)
P 0.7826 0.7826 0.5651  4 Ir 2.36, 1 Br 2.41
Ir 0.2231 0.2231 0.4462  4 P 2.36, 1 Br 2.60
Br 0.9944 0.9944 0.9887  1 P 2.41, 1 Ir 2.60



Q: Which of them is the least stable? A: (1).



(1)
The following is a GGA-PBEsol calculation of PIr2Br after structural relaxation, from Alexandria.

Calculated values
Space group: Pmm2
Fermi-level density of states (states/eV/f.u.): 3.19
Magnetic moment (μB per formula unit): 0.00

Cell: 2.8897 3.5588 6.9839 Å, 90.00 90.00 90.00°
With the nearest neighbours (Å) after each atom.
Element x y z (fractional)
P 0.0000 0.0000 0.3763  5 Ir 2.32-2.40
Ir 0.5000 0.5000 0.2724  4 P 2.40
Ir 0.0000 0.0000 0.0444  1 P 2.32
Br 0.5000 0.5000 0.8069  4 Ir 2.83, 2 Br 2.89



(2)
The following is a GGA-PBEsol calculation of PIr2Br after structural relaxation, from Alexandria.

Calculated values
Space group: Cmmm
Fermi-level density of states (states/eV/f.u.): 2.83
Magnetic moment (μB per formula unit): 0.00

Cell: 2.9196 3.0447 8.2787 Å, 90.00 90.00 118.65°
With the nearest neighbours (Å) after each atom.
Element x y z (fractional)
P 0.5000 0.0000 0.5000  4 Ir 2.26
Ir 0.0000 0.0000 0.7087  2 P 2.26
Ir 0.0000 0.0000 0.2913  2 P 2.26
Br 0.5000 0.0000 0.0000  4 Ir 2.82, 6 Br 2.92-3.04



Q: Which of them is the least stable? A: (2).